1.
Compound: PmTc2AgO7
Source: Alexandria via LeMat-Bulk
Functional: PBE
Structure: relaxed

a = 3.8441 Å, b = 3.8441 Å, c = 10.5489 Å
α = 90.00°, β = 90.00°, γ = 90.00°
Last column: nearest neighbours and their distance in Å.
Positions (direct):
Pm  0.0000  0.0000  0.0000  12 O 2.59-2.72
Tc  0.5000  0.5000  0.2044  5 O 1.77-1.97
Tc  0.5000  0.5000  0.7956  5 O 1.77-1.97
Ag  0.0000  0.0000  0.5000  8 O 3.04
O  0.5000  0.5000  0.6282  1 Tc 1.77
O  0.0000  0.5000  0.1647  2 Tc 1.97
O  0.5000  0.0000  0.1647  2 Tc 1.97
O  0.0000  0.5000  0.8353  2 Tc 1.97
O  0.5000  0.0000  0.8353  2 Tc 1.97
O  0.5000  0.5000  0.3718  1 Tc 1.77
O  0.5000  0.5000  0.0000  2 Tc 2.16

Raw total energy = -7.232 eV/atom
Formation energy without anion corrections = -16.52 eV/f.u.
Density = 5.97 g/cm3
Space-group type = P4/mmm, No. 123

2.
Compound: RbNaRu2O6
Source: Alexandria via LeMat-Bulk
Functional: PBE
Structure: relaxed

a = 7.7602 Å, b = 7.7602 Å, c = 7.0922 Å
α = 94.71°, β = 94.71°, γ = 113.10°
Last column: nearest neighbours and their distance in Å.
Positions (direct):
Rb  0.1420  0.8580  0.2500  2 O 2.80
Rb  0.8580  0.1420  0.7500  2 O 2.80
Na  0.6640  0.3360  0.2500  6 O 2.39-2.54
Na  0.3360  0.6640  0.7500  6 O 2.39-2.54
Ru  0.4242  0.2265  0.7149  4 O 1.76-1.95
Ru  0.7735  0.5758  0.7851  4 O 1.76-1.95
Ru  0.5758  0.7735  0.2851  4 O 1.76-1.95
Ru  0.2265  0.4242  0.2149  4 O 1.76-1.95
O  0.9810  0.3600  0.1812  1 Ru 1.76
O  0.6400  0.0190  0.3188  1 Ru 1.76
O  0.0190  0.6400  0.8188  1 Ru 1.76
O  0.3600  0.9810  0.6812  1 Ru 1.76
O  0.3097  0.2422  0.2063  1 Ru 1.77
O  0.7578  0.6903  0.2937  1 Ru 1.77
O  0.6903  0.7578  0.7937  1 Ru 1.77
O  0.2422  0.3097  0.7063  1 Ru 1.77
O  0.3662  0.6277  0.4178  2 Ru 1.94-1.95
O  0.3723  0.6338  0.0822  2 Ru 1.94-1.95
O  0.6338  0.3723  0.5821  2 Ru 1.94-1.95
O  0.6277  0.3662  0.9178  2 Ru 1.94-1.95

Raw total energy = -6.119 eV/atom
Formation energy without anion corrections = -10.61 eV/f.u.
Density = 3.48 g/cm3
Space-group type = C2/c, No. 15

3.
Compound: BaTcOs3
Source: Alexandria via LeMat-Bulk
Functional: PBE
Structure: relaxed

a = 4.8772 Å, b = 4.8772 Å, c = 4.8772 Å
α = 90.00°, β = 90.00°, γ = 90.00°
Last column: nearest neighbours and their distance in Å.
Positions (direct):
Os  0.0000  0.5000  0.0000  2 Ba 2.44
Os  0.0000  0.0000  0.5000  2 Ba 2.44
Os  0.5000  0.0000  0.0000  2 Ba 2.44
Ba  0.0000  0.0000  0.0000  6 Os 2.44
Tc  0.5000  0.5000  0.5000  12 Os 3.45

Raw total energy = -5.002 eV/atom
Density = 11.54 g/cm3
Space-group type = Pm-3m, No. 221
ΔE_f = 4.194 eV/atom

4.
Compound: MgCoBr
Source: Alexandria via LeMat-Bulk
Functional: PBE
Structure: relaxed

a = 3.6111 Å, b = 3.8713 Å, c = 9.8654 Å
α = 90.01°, β = 87.02°, γ = 90.00°
Last column: nearest neighbours and their distance in Å.
Positions (direct):
Mg  0.5548  0.7542  0.4817  6 Co 2.64-2.85, 2 Br 2.77
Mg  0.5101  0.2545  0.7761  6 Co 2.64-2.85, 2 Br 2.77
Co  0.0015  0.7546  0.6849  2 Co 2.23
Co  0.0635  0.2545  0.5728  2 Co 2.23
Br  0.8139  0.7550  0.9371  1 Co 2.54, 2 Mg 2.77
Br  0.2508  0.2547  0.3206  1 Co 2.54, 2 Mg 2.77

Raw total energy = -3.787 eV/atom
Formation energy without anion corrections = -0.99 eV/f.u.
Density = 3.93 g/cm3
Space-group type = P2_1/m, No. 11

5.
Compound: Bi3RhF
Source: Alexandria via LeMat-Bulk
Functional: PBE
Structure: relaxed

a = 5.3031 Å, b = 5.3031 Å, c = 5.3031 Å
α = 90.00°, β = 90.00°, γ = 90.00°
Last column: nearest neighbours and their distance in Å.
Positions (direct):
Rh  0.0000  0.0000  0.0000  6 Bi 2.65
Bi  0.0000  0.5000  0.0000  2 Rh 2.65
Bi  0.0000  0.0000  0.5000  2 Rh 2.65
Bi  0.5000  0.0000  0.0000  2 Rh 2.65
F  0.5000  0.5000  0.5000  12 Bi 3.75

Raw total energy = -4.130 eV/atom
Formation energy without anion corrections = 0.22 eV/f.u.
Density = 8.34 g/cm3
Space-group type = Pm-3m, No. 221

6.
Compound: BiAs2SeO
Source: Alexandria via LeMat-Bulk
Functional: PBE
Structure: relaxed

a = 5.5694 Å, b = 5.5694 Å, c = 5.5311 Å
α = 90.00°, β = 90.00°, γ = 90.00°
Last column: nearest neighbours and their distance in Å.
Positions (direct):
O  0.5000  0.5000  0.5000  8 As 3.92, 4 Se 3.94
As  0.0000  0.5000  0.0000  2 Bi 2.78
As  0.5000  0.0000  0.0000  2 Bi 2.78
Bi  0.0000  0.0000  0.0000  2 Se 2.77, 4 As 2.78
Se  0.0000  0.0000  0.5000  2 Bi 2.77

Raw total energy = -2.905 eV/atom
Formation energy without anion corrections = 7.10 eV/f.u.
Density = 4.39 g/cm3
Space-group type = P4/mmm, No. 123

7.
Compound: ReAsSe2
Source: Alexandria via LeMat-Bulk
Functional: PBE
Structure: relaxed

a = 6.5392 Å, b = 6.5392 Å, c = 6.5392 Å
α = 152.29°, β = 141.28°, γ = 48.28°
Last column: nearest neighbours and their distance in Å.
Positions (direct):
Re  0.2500  0.7500  0.5000  4 Se 2.58, 4 As 2.67
As  0.7500  0.2500  0.5000  4 Re 2.67, 4 Se 2.98
Se  0.0782  0.0782  0.0000  2 Re 2.58
Se  0.4218  0.4218  0.0000  2 Re 2.58

Raw total energy = -5.717 eV/atom
Formation energy without anion corrections = 1.20 eV/f.u.
Density = 8.59 g/cm3
Space-group type = Immm, No. 71

8.
Compound: Mg2CuSe
Source: Alexandria via LeMat-Bulk
Functional: PBE
Structure: relaxed

a = 4.1005 Å, b = 4.1005 Å, c = 12.1494 Å
α = 90.00°, β = 90.00°, γ = 90.00°
Last column: nearest neighbours and their distance in Å.
Positions (direct):
Mg  0.0000  0.5000  0.9060  1 Cu 2.60
Mg  0.5000  0.0000  0.0940  1 Cu 2.60
Mg  0.0000  0.0000  0.5000  4 Se 2.57
Mg  0.5000  0.5000  0.5000  4 Se 2.57
Cu  0.0000  0.5000  0.1203  1 Mg 2.60
Cu  0.5000  0.0000  0.8797  1 Mg 2.60
Se  0.0000  0.5000  0.6280  4 Mg 2.57
Se  0.5000  0.0000  0.3720  4 Mg 2.57

Raw total energy = -2.882 eV/atom
Formation energy without anion corrections = -0.76 eV/f.u.
Density = 3.11 g/cm3
Space-group type = P4/nmm, No. 129

9.
Compound: Tb4NdTl5
Source: Alexandria via LeMat-Bulk
Functional: PBE
Structure: relaxed

a = 3.7979 Å, b = 3.7979 Å, c = 19.4327 Å
α = 90.00°, β = 90.00°, γ = 90.00°
Last column: nearest neighbours and their distance in Å.
Positions (direct):
Tb  0.0000  0.0000  0.2045  8 Tl 3.29-3.30
Tb  0.0000  0.0000  0.4015  8 Tl 3.30
Tb  0.0000  0.0000  0.5985  8 Tl 3.30
Tb  0.0000  0.0000  0.7955  8 Tl 3.29-3.30
Nd  0.0000  0.0000  0.0000  8 Tl 3.39
Tl  0.5000  0.5000  0.1063  4 Tb 3.29, 4 Nd 3.39
Tl  0.5000  0.5000  0.3033  8 Tb 3.30
Tl  0.5000  0.5000  0.5000  8 Tb 3.30
Tl  0.5000  0.5000  0.6967  8 Tb 3.30
Tl  0.5000  0.5000  0.8937  4 Tb 3.29, 4 Nd 3.39

Raw total energy = -3.874 eV/atom
Density = 10.67 g/cm3
Space-group type = P4/mmm, No. 123
ΔE_f = -0.362 eV/atom

10.
Compound: RbHf2MnNb
Source: Alexandria via LeMat-Bulk
Functional: PBE
Structure: relaxed

a = 4.9392 Å, b = 4.7111 Å, c = 4.9392 Å
α = 90.00°, β = 90.00°, γ = 90.00°
Last column: nearest neighbours and their distance in Å.
Positions (direct):
Nb  0.0000  0.5000  0.0000  2 Rb 2.36
Mn  0.5000  0.5000  0.5000  8 Hf 3.41, 4 Nb 3.49
Hf  0.0000  0.0000  0.5000  2 Rb 2.47
Hf  0.5000  0.0000  0.0000  2 Rb 2.47
Rb  0.0000  0.0000  0.0000  2 Nb 2.36, 4 Hf 2.47

Raw total energy = -5.084 eV/atom
Density = 8.53 g/cm3
Space-group type = P4/mmm, No. 123
ΔE_f = 2.938 eV/atom

11.
Compound: TlTeAs2
Source: Alexandria via LeMat-Bulk
Functional: PBE
Structure: relaxed

a = 5.1543 Å, b = 5.1543 Å, c = 5.1543 Å
α = 60.00°, β = 60.00°, γ = 60.00°
Last column: nearest neighbours and their distance in Å.
Positions (direct):
Tl  0.5000  0.5000  0.5000  8 As 3.16
Te  0.0000  0.0000  0.0000  8 As 3.16
As  0.2500  0.2500  0.2500  4 Tl 3.16, 4 Te 3.16
As  0.7500  0.7500  0.7500  4 Te 3.16, 4 Tl 3.16

Raw total energy = -3.300 eV/atom
Formation energy without anion corrections = 1.61 eV/f.u.
Density = 8.26 g/cm3
Space-group type = Fm-3m, No. 225